## Rb3BaRe2O8 (PBE-GGA)

Data for an optimized crystal structure of Rb3BaRe2O8.

Calculated values
mass density: 4.86 g/cm3
magnetic moment: 3.00 μB per formula unit
energy relative to the elements, uncorrected: -1784 meV/atom

Geometry as CIF:
```
data_Rb3BaRe2O8
_chemical_formula_sum 'Rb3 Ba1 Re2 O8'
_symmetry_space_group_name_H-M 'P -3 m 1'
_symmetry_Int_Tables_number 164
_symmetry_space_group_name_Hall '-P 3 2"'
_cell_length_a 6.5184
_cell_length_b 6.5184
_cell_length_c 8.3092
_cell_angle_alpha 90.00
_cell_angle_beta 90.00
_cell_angle_gamma 120.00
loop_
_atom_site_label
_atom_site_type_symbol
_atom_site_fract_x
_atom_site_fract_y
_atom_site_fract_z
Rb1 Rb 0.0000 0.0000 0.0000
Rb2 Rb 0.3333 0.6667 0.6734
Ba1 Ba 0.0000 0.0000 0.5000
Re1 Re 0.3333 0.6667 0.2127
O1 O 0.1832 0.3664 0.3013
O2 O 0.3333 0.6667 0.9971
```

## BeCr2CuH (PBE-GGA)

Data for an optimized crystal structure of BeCr2CuH.

Calculated values
raw total energy: -29.48 eV/f.u.
mass density: 6.32 g/cm3
magnetic moment: 0.01 μB per formula unit

Geometry as CIF:
```
data_BeCr2CuH
_chemical_formula_sum 'Be1 Cr2 Cu1 H1'
_symmetry_space_group_name_H-M 'P 4/m m m'
_symmetry_Int_Tables_number 123
_symmetry_space_group_name_Hall '-P 4 2'
_cell_length_a 3.445
_cell_length_b 3.445
_cell_length_c 3.932
_cell_angle_alpha 90.00
_cell_angle_beta 90.00
_cell_angle_gamma 90.00
loop_
_atom_site_label
_atom_site_type_symbol
_atom_site_fract_x
_atom_site_fract_y
_atom_site_fract_z
Be1 Be 0.000 0.000 0.000
Cr1 Cr 0.000 0.500 0.500
Cu1 Cu 0.500 0.500 0.000
H1 H 0.500 0.500 0.500
```

## Cs2UPbS5 (PBE-GGA)

Data for an optimized crystal structure of Cs2UPbS5.

Calculated values
mass density: 4.54 g/cm3
magnetic moment: 0.09 μB per formula unit
energy relative to the elements, uncorrected: -1014 meV/atom

Geometry as CIF:
```
data_Cs2UPbS5
_chemical_formula_sum 'Cs8 U4 Pb4 S20'
_symmetry_space_group_name_H-M 'C m c 21'
_symmetry_Int_Tables_number 36
_symmetry_space_group_name_Hall 'C 2c -2'
_cell_length_a 4.225
_cell_length_b 18.669
_cell_length_c 16.173
_cell_angle_alpha 90.00
_cell_angle_beta 90.00
_cell_angle_gamma 90.00
loop_
_atom_site_label
_atom_site_type_symbol
_atom_site_fract_x
_atom_site_fract_y
_atom_site_fract_z
Cs1 Cs 0.000 0.082 0.000
Cs2 Cs 0.000 0.146 0.638
U1 U 0.000 0.218 0.367
Pb1 Pb 0.000 0.462 0.782
S1 S 0.000 0.091 0.404
S2 S 0.000 0.265 0.964
S3 S 0.000 0.308 0.767
S4 S 0.000 0.344 0.329
S5 S 0.000 0.500 0.133
```

## GaPtN2O (PBE-GGA)

Data for an optimized crystal structure of GaPtN2O.

Calculated values
mass density: 8.03 g/cm3
magnetic moment: 0.58 μB per formula unit
energy relative to the elements, uncorrected: 1032 meV/atom

Geometry as CIF:
```
data_GaPtN2O
_chemical_formula_sum 'Ga1 Pt1 N2 O1'
_symmetry_space_group_name_H-M 'P 4/m m m'
_symmetry_Int_Tables_number 123
_symmetry_space_group_name_Hall '-P 4 2'
_cell_length_a 3.874
_cell_length_b 3.874
_cell_length_c 4.256
_cell_angle_alpha 90.00
_cell_angle_beta 90.00
_cell_angle_gamma 90.00
loop_
_atom_site_label
_atom_site_type_symbol
_atom_site_fract_x
_atom_site_fract_y
_atom_site_fract_z
Ga1 Ga 0.000 0.000 0.000
Pt1 Pt 0.500 0.500 0.500
N1 N 0.000 0.500 0.500
O1 O 0.500 0.500 0.000
```

- Which of these has the highest mass density?
  GaPtN2O

- mass density of number 4 (GaPtN2O)?
  8.03 g/cm3

- The lowest mass density belongs to which entry?
  Cs2UPbS5